{
  "formula": "Be2Cr2Fe",
  "functional": "GGA-PBE",
  "state": "optimized geometry",
  "lattice_angstrom": [[5.746, 0.000, 0.000], [0.000, 5.746, 0.000], [0.000, 0.000, 2.984]],
  "species": ["Be", "Be", "Be", "Be", "Cr", "Cr", "Cr", "Cr", "Fe", "Fe"],
  "fractional_positions": [[0.123, 0.377, 0.000], [0.377, 0.877, 0.000], [0.623, 0.123, 0.000], [0.877, 0.623, 0.000], [0.175, 0.675, 0.500], [0.325, 0.175, 0.500], [0.675, 0.825, 0.500], [0.825, 0.325, 0.500], [0.000, 0.000, 0.000], [0.500, 0.500, 0.000]],
  "dos_at_fermi_per_ev_fu": 4.114,
  "e_form_mev_per_atom": 20,
  "final_energy_ev_per_cell": -70.13
}